[1]
Compound: CaAc3Er
Source: Alexandria via LeMat-Bulk
Functional: PBE
Structure: relaxed

**Formation enthalpy at 0 K**: 0.053 eV/atom
**Calculated density**: 7.071 g cm⁻³
**Crystal system**: triclinic
**Total moment**: 0.0 μB per formula unit
**Calculated total energy**: -37.25 eV/cell

Structure (POSCAR):
```
CaAc3Er
1.0
3.9688 0.0000 0.0000
-0.0007 10.4618 0.0000
-1.9798 -2.6513 10.0484
Ca Ac Er
2 6 2
Direct
0.0923 0.0482 0.1840 Ca
0.9077 0.9518 0.8160 Ca
0.3012 0.6523 0.6024 Ac
0.3067 0.1506 0.6131 Ac
0.4999 0.2929 0.9996 Ac
0.5001 0.7071 0.0004 Ac
0.6933 0.8494 0.3869 Ac
0.6988 0.3477 0.3976 Ac
0.1130 0.5561 0.2264 Er
0.8870 0.4439 0.7736 Er
```

[2]
Compound: Ca2Ac8Er
Source: Alexandria via LeMat-Bulk
Functional: PBE
Structure: relaxed

**Formation enthalpy at 0 K**: 0.167 eV/atom
**Calculated density**: 7.017 g cm⁻³
**Crystal system**: orthorhombic
**Total moment**: 0.0 μB per formula unit
**Calculated total energy**: -39.60 eV/cell

Structure (POSCAR):
```
Ca2Ac8Er
1.0
5.6084 -7.3234 0.0000
5.6084 7.3234 0.0000
0.0000 0.0000 5.9442
Ca Ac Er
2 8 1
Direct
0.1179 0.8821 0.0000 Ca
0.8821 0.1179 0.0000 Ca
0.1756 0.1756 0.5000 Ac
0.2016 0.4658 0.0000 Ac
0.2521 0.7479 0.5000 Ac
0.4658 0.2016 0.0000 Ac
0.5342 0.7984 0.0000 Ac
0.7479 0.2521 0.5000 Ac
0.7984 0.5342 0.0000 Ac
0.8244 0.8244 0.5000 Ac
0.5000 0.5000 0.5000 Er
```

[3]
Compound: CaAcEr2
Source: Alexandria via LeMat-Bulk
Functional: PBE
Structure: relaxed

**Formation enthalpy at 0 K**: 0.143 eV/atom
**Calculated density**: 6.918 g cm⁻³
**Crystal system**: tetragonal
**Total moment**: 0.0 μB per formula unit
**Calculated total energy**: -14.66 eV/cell

Structure (POSCAR):
```
CaAcEr2
1.0
5.1667 0.0000 0.0000
0.0000 5.1667 0.0000
0.0000 0.0000 5.4092
Ca Ac Er
1 1 2
Direct
0.0000 0.0000 0.0000 Ca
0.5000 0.5000 0.0000 Ac
0.0000 0.5000 0.5000 Er
0.5000 0.0000 0.5000 Er
```

[4]
Compound: CaAc2Er
Source: Alexandria via LeMat-Bulk
Functional: PBE
Structure: relaxed

**Formation enthalpy at 0 K**: 0.060 eV/atom
**Calculated density**: 6.752 g cm⁻³
**Crystal system**: tetragonal
**Total moment**: 0.0 μB per formula unit
**Calculated total energy**: -14.54 eV/cell

Structure (POSCAR):
```
CaAc2Er
1.0
4.2764 0.0000 0.0000
0.0000 4.2764 0.0000
0.0000 0.0000 8.8941
Ca Ac Er
1 2 1
Direct
0.0000 0.0000 0.0000 Ca
0.5000 0.5000 0.2688 Ac
0.5000 0.5000 0.7312 Ac
0.0000 0.0000 0.5000 Er
```

[5]
Compound: Ca3Ac12Er
Source: Alexandria via LeMat-Bulk
Functional: PBE
Structure: relaxed

**Formation enthalpy at 0 K**: 0.027 eV/atom
**Calculated density**: 7.241 g cm⁻³
**Crystal system**: tetragonal
**Total moment**: 0.0 μB per formula unit
**Calculated total energy**: -59.44 eV/cell

Structure (POSCAR):
```
Ca3Ac12Er
1.0
5.5668 0.0000 0.0000
0.0000 5.5668 0.0000
0.0000 0.0000 22.2863
Ca Ac Er
3 12 1
Direct
0.0000 0.0000 0.0000 Ca
0.0000 0.0000 0.2523 Ca
0.0000 0.0000 0.7477 Ca
0.0000 0.5000 0.1263 Ac
0.0000 0.5000 0.3797 Ac
0.0000 0.5000 0.6203 Ac
0.0000 0.5000 0.8737 Ac
0.5000 0.0000 0.1263 Ac
0.5000 0.0000 0.3797 Ac
0.5000 0.0000 0.6203 Ac
0.5000 0.0000 0.8737 Ac
0.5000 0.5000 0.0000 Ac
0.5000 0.5000 0.2523 Ac
0.5000 0.5000 0.5000 Ac
0.5000 0.5000 0.7477 Ac
0.0000 0.0000 0.5000 Er
```

[6]
Compound: CaAcEr
Source: Alexandria via LeMat-Bulk
Functional: PBE
Structure: relaxed

**Formation enthalpy at 0 K**: 0.177 eV/atom
**Calculated density**: 6.017 g cm⁻³
**Crystal system**: orthorhombic
**Total moment**: 0.0 μB per formula unit
**Calculated total energy**: -20.29 eV/cell

Structure (POSCAR):
```
CaAcEr
1.0
6.8389 0.0000 0.0000
0.0000 3.7296 0.0000
0.0000 0.0000 9.3991
Ca Ac Er
2 2 2
Direct
0.2500 0.0000 0.1520 Ca
0.7500 0.0000 0.8480 Ca
0.2500 0.5000 0.7850 Ac
0.7500 0.5000 0.2150 Ac
0.0000 0.0000 0.5000 Er
0.5000 0.0000 0.5000 Er
```

[7]
Compound: CaAcEuEr
Source: Alexandria via LeMat-Bulk
Functional: PBE
Structure: relaxed

**Formation enthalpy at 0 K**: 0.114 eV/atom
**Calculated density**: 6.190 g cm⁻³
**Crystal system**: cubic
**Total moment**: 7.3 μB per formula unit
**Calculated total energy**: -20.49 eV/cell

Structure (POSCAR):
```
CaAcEuEr
1.0
0.0000 4.2843 4.2843
4.2843 0.0000 4.2843
4.2843 4.2843 0.0000
Ca Ac Eu Er
1 1 1 1
Direct
0.0000 0.0000 0.0000 Ca
0.2500 0.2500 0.2500 Ac
0.7500 0.7500 0.7500 Eu
0.5000 0.5000 0.5000 Er
```

[8]
Compound: CaAcGdEr
Source: Alexandria via LeMat-Bulk
Functional: PBE
Structure: relaxed

**Formation enthalpy at 0 K**: 0.110 eV/atom
**Calculated density**: 6.687 g cm⁻³
**Crystal system**: cubic
**Total moment**: 7.6 μB per formula unit
**Calculated total energy**: -24.31 eV/cell

Structure (POSCAR):
```
CaAcGdEr
1.0
0.0000 4.1880 4.1880
4.1880 0.0000 4.1880
4.1880 4.1880 0.0000
Ca Ac Gd Er
1 1 1 1
Direct
0.0000 0.0000 0.0000 Ca
0.7500 0.7500 0.7500 Ac
0.2500 0.2500 0.2500 Gd
0.5000 0.5000 0.5000 Er
```

[9]
Compound: CaAcErHg
Source: Alexandria via LeMat-Bulk
Functional: PBE
Structure: relaxed

**Formation enthalpy at 0 K**: 0.072 eV/atom
**Calculated density**: 8.122 g cm⁻³
**Crystal system**: cubic
**Total moment**: 0.0 μB per formula unit
**Calculated total energy**: -10.69 eV/cell

Structure (POSCAR):
```
CaAcErHg
1.0
0.0000 4.0188 4.0188
4.0188 0.0000 4.0188
4.0188 4.0188 0.0000
Ca Ac Er Hg
1 1 1 1
Direct
0.0000 0.0000 0.0000 Ca
0.7500 0.7500 0.7500 Ac
0.5000 0.5000 0.5000 Er
0.2500 0.2500 0.2500 Hg
```

[10]
Compound: CaAcEr2Hg4
Source: Alexandria via LeMat-Bulk
Functional: PBE
Structure: relaxed

**Formation enthalpy at 0 K**: -0.468 eV/atom
**Calculated density**: 10.490 g cm⁻³
**Crystal system**: trigonal
**Total moment**: 0.0 μB per formula unit
**Calculated total energy**: -20.19 eV/cell

Structure (POSCAR):
```
CaAcEr2Hg4
1.0
2.6513 1.5307 9.1270
-2.6513 1.5307 9.1270
0.0000 -3.0615 9.1270
Ca Ac Er Hg
1 1 2 4
Direct
0.0000 0.0000 0.0000 Ca
0.5000 0.5000 0.5000 Ac
0.2561 0.2561 0.2561 Er
0.7439 0.7439 0.7439 Er
0.1155 0.1155 0.1155 Hg
0.3730 0.3730 0.3730 Hg
0.6270 0.6270 0.6270 Hg
0.8845 0.8845 0.8845 Hg
```

[11]
Compound: CaAcHoEr
Source: Alexandria via LeMat-Bulk
Functional: PBE
Structure: relaxed

**Formation enthalpy at 0 K**: 0.133 eV/atom
**Calculated density**: 6.850 g cm⁻³
**Crystal system**: cubic
**Total moment**: 0.0 μB per formula unit
**Calculated total energy**: -14.72 eV/cell

Structure (POSCAR):
```
CaAcHoEr
1.0
0.0000 4.1724 4.1724
4.1724 0.0000 4.1724
4.1724 4.1724 0.0000
Ca Ac Ho Er
1 1 1 1
Direct
0.0000 0.0000 0.0000 Ca
0.2500 0.2500 0.2500 Ac
0.7500 0.7500 0.7500 Ho
0.5000 0.5000 0.5000 Er
```

[12]
Compound: Ca2AcErIn4
Source: Alexandria via LeMat-Bulk
Functional: PBE
Structure: relaxed

**Formation enthalpy at 0 K**: -0.421 eV/atom
**Calculated density**: 6.525 g cm⁻³
**Crystal system**: trigonal
**Total moment**: 0.0 μB per formula unit
**Calculated total energy**: -27.00 eV/cell

Structure (POSCAR):
```
Ca2AcErIn4
1.0
2.7429 1.5836 9.1176
-2.7429 1.5836 9.1176
0.0000 -3.1673 9.1176
Ca Ac Er In
2 1 1 4
Direct
0.2482 0.2482 0.2482 Ca
0.7518 0.7518 0.7518 Ca
0.0000 0.0000 0.0000 Ac
0.5000 0.5000 0.5000 Er
0.1287 0.1287 0.1287 In
0.3820 0.3820 0.3820 In
0.6180 0.6180 0.6180 In
0.8713 0.8713 0.8713 In
```

[13]
Compound: CaAcLaEr
Source: Alexandria via LeMat-Bulk
Functional: PBE
Structure: relaxed

**Formation enthalpy at 0 K**: 0.075 eV/atom
**Calculated density**: 6.204 g cm⁻³
**Crystal system**: trigonal
**Total moment**: 0.0 μB per formula unit
**Calculated total energy**: -15.30 eV/cell

Structure (POSCAR):
```
CaAcLaEr
1.0
3.7840 0.0000 0.0000
-1.8920 3.2770 0.0000
0.0000 0.0000 12.3739
Ca Ac La Er
1 1 1 1
Direct
0.0000 0.0000 0.0000 Ca
0.6667 0.3333 0.7319 Ac
0.3333 0.6667 0.4754 La
0.6667 0.3333 0.2436 Er
```

[14]
Compound: CaAcLaEr
Source: Alexandria via LeMat-Bulk
Functional: PBE
Structure: relaxed

**Formation enthalpy at 0 K**: 0.090 eV/atom
**Calculated density**: 6.231 g cm⁻³
**Crystal system**: cubic
**Total moment**: 0.0 μB per formula unit
**Calculated total energy**: -15.24 eV/cell

Structure (POSCAR):
```
CaAcLaEr
1.0
0.0000 4.2429 4.2429
4.2429 0.0000 4.2429
4.2429 4.2429 0.0000
Ca Ac La Er
1 1 1 1
Direct
0.0000 0.0000 0.0000 Ca
0.2500 0.2500 0.2500 Ac
0.7500 0.7500 0.7500 La
0.5000 0.5000 0.5000 Er
```

[15]
Compound: LiCaAcEr
Source: Alexandria via LeMat-Bulk
Functional: PBE
Structure: relaxed

**Formation enthalpy at 0 K**: 0.186 eV/atom
**Calculated density**: 5.244 g cm⁻³
**Crystal system**: cubic
**Total moment**: 0.0 μB per formula unit
**Calculated total energy**: -11.84 eV/cell

Structure (POSCAR):
```
LiCaAcEr
1.0
0.0000 4.1188 4.1188
4.1188 0.0000 4.1188
4.1188 4.1188 0.0000
Li Ca Ac Er
1 1 1 1
Direct
0.0000 0.0000 0.0000 Li
0.7500 0.7500 0.7500 Ca
0.2500 0.2500 0.2500 Ac
0.5000 0.5000 0.5000 Er
```

[16]
Compound: CaAcErMg
Source: Alexandria via LeMat-Bulk
Functional: PBE
Structure: relaxed

**Formation enthalpy at 0 K**: 0.144 eV/atom
**Calculated density**: 5.498 g cm⁻³
**Crystal system**: cubic
**Total moment**: 0.0 μB per formula unit
**Calculated total energy**: -11.69 eV/cell

Structure (POSCAR):
```
CaAcErMg
1.0
0.0000 4.1066 4.1066
4.1066 0.0000 4.1066
4.1066 4.1066 0.0000
Ca Ac Er Mg
1 1 1 1
Direct
0.0000 0.0000 0.0000 Ca
0.2500 0.2500 0.2500 Ac
0.5000 0.5000 0.5000 Er
0.7500 0.7500 0.7500 Mg
```

[17]
Compound: CaAcNdEr
Source: Alexandria via LeMat-Bulk
Functional: PBE
Structure: relaxed

**Formation enthalpy at 0 K**: 0.104 eV/atom
**Calculated density**: 6.401 g cm⁻³
**Crystal system**: cubic
**Total moment**: 0.0 μB per formula unit
**Calculated total energy**: -15.02 eV/cell

Structure (POSCAR):
```
CaAcNdEr
1.0
0.0000 4.2179 4.2179
4.2179 0.0000 4.2179
4.2179 4.2179 0.0000
Ca Ac Nd Er
1 1 1 1
Direct
0.0000 0.0000 0.0000 Ca
0.2500 0.2500 0.2500 Ac
0.7500 0.7500 0.7500 Nd
0.5000 0.5000 0.5000 Er
```

[18]
Compound: CaAcPmEr
Source: Alexandria via LeMat-Bulk
Functional: PBE
Structure: relaxed

**Formation enthalpy at 0 K**: 0.110 eV/atom
**Calculated density**: 6.444 g cm⁻³
**Crystal system**: cubic
**Total moment**: 0.0 μB per formula unit
**Calculated total energy**: -14.98 eV/cell

Structure (POSCAR):
```
CaAcPmEr
1.0
0.0000 4.2104 4.2104
4.2104 0.0000 4.2104
4.2104 4.2104 0.0000
Ca Ac Pm Er
1 1 1 1
Direct
0.0000 0.0000 0.0000 Ca
0.2500 0.2500 0.2500 Ac
0.7500 0.7500 0.7500 Pm
0.5000 0.5000 0.5000 Er
```

[19]
Compound: CaAcEr2S4
Source: Alexandria via LeMat-Bulk
Functional: PBE
Structure: relaxed

**ΔE_f (raw)**: -1.9773 eV per atom
**Calculated density**: 6.583 g cm⁻³
**Crystal system**: monoclinic
**Total moment**: 0.0 μB per formula unit
**Calculated total energy**: -47.56 eV/cell

Structure (POSCAR):
```
CaAcEr2S4
1.0
6.9661 0.0000 0.0000
0.0000 3.9831 0.0000
-2.2723 0.0000 6.6347
Ca Ac Er S
1 1 2 4
Direct
0.0000 0.0000 0.0000 Ca
0.5000 0.5000 0.0000 Ac
0.0000 0.5000 0.5000 Er
0.5000 0.0000 0.5000 Er
0.2311 0.0000 0.7254 S
0.2466 0.5000 0.2678 S
0.7534 0.5000 0.7322 S
0.7689 0.0000 0.2746 S
```

[20]
Compound: CaAcErSc
Source: Alexandria via LeMat-Bulk
Functional: PBE
Structure: relaxed

**Formation enthalpy at 0 K**: 0.158 eV/atom
**Calculated density**: 5.816 g cm⁻³
**Crystal system**: cubic
**Total moment**: 0.0 μB per formula unit
**Calculated total energy**: -16.37 eV/cell

Structure (POSCAR):
```
CaAcErSc
1.0
0.0000 4.0902 4.0902
4.0902 0.0000 4.0902
4.0902 4.0902 0.0000
Ca Ac Er Sc
1 1 1 1
Direct
0.0000 0.0000 0.0000 Ca
0.2500 0.2500 0.2500 Ac
0.7500 0.7500 0.7500 Er
0.5000 0.5000 0.5000 Sc
```